POsAuS2 GGA-PBE optimized geometry; energy above the lowest structure with this stoichiometry = 1.069 eV per atom; raw formation energy = 1878 meV/atom
1.0
4.711 0.000 0.000
0.000 4.711 0.000
0.000 0.000 4.636
P Os Au S
1 1 1 2
Cartesian
0.000 0.000 0.000
2.356 2.356 0.000
0.000 0.000 2.318
0.000 2.356 2.318
2.356 0.000 2.318

=====

Ho4Ir3Pt GGA-PBE optimized geometry; DFT formation energy = -0.952 eV/atom
1.0
4.787 0.000 0.000
0.000 4.787 0.000
0.000 0.000 7.024
Ho Ir Pt
4 3 1
Cartesian
0.000 2.393 1.746
0.000 2.393 5.278
2.393 0.000 1.746
2.393 0.000 5.278
0.000 0.000 0.000
0.000 0.000 3.512
2.393 2.393 0.000
2.393 2.393 3.512

=====

SrMnCu2 GGA-PBE optimized geometry; DFT formation energy = 0.135 eV/atom
1.0
7.415 0.000 0.000
0.000 4.282 0.000
-2.486 0.000 5.409
Sr Mn Cu
2 2 4
Cartesian
0.000 0.000 0.000
3.708 2.141 0.000
-0.013 0.000 3.078
3.694 2.141 3.078
-1.249 2.141 2.792
1.222 2.141 2.322
2.459 0.000 2.792
4.930 0.000 2.322

=====

ThMg3Sc12 GGA-PBE optimized geometry; DFT formation energy = 0.042 eV/atom
1.0
4.663 0.000 0.000
0.000 4.663 0.000
0.000 0.000 18.264
Th Mg Sc
1 3 12
Cartesian
0.000 0.000 0.000
0.000 0.000 4.646
0.000 0.000 9.132
0.000 0.000 13.618
0.000 2.331 2.350
0.000 2.331 6.883
0.000 2.331 11.381
0.000 2.331 15.914
2.331 0.000 2.350
2.331 0.000 6.883
2.331 0.000 11.381
2.331 0.000 15.914
2.331 2.331 0.000
2.331 2.331 4.688
2.331 2.331 9.132
2.331 2.331 13.576

=====

BaCeMgHg GGA-PBE optimized geometry; DFT formation energy = -0.054 eV/atom
1.0
8.118 0.000 0.000
0.000 8.118 0.000
0.000 0.000 8.118
Ba Ce Mg Hg
4 4 4 4
Cartesian
0.000 0.000 0.000
0.000 4.059 4.059
4.059 0.000 4.059
4.059 4.059 0.000
0.000 0.000 4.059
0.000 4.059 0.000
4.059 0.000 0.000
4.059 4.059 4.059
2.030 2.030 6.089
2.030 6.089 2.030
6.089 2.030 2.030
6.089 6.089 6.089
2.030 2.030 2.030
2.030 6.089 6.089
6.089 2.030 6.089
6.089 6.089 2.030

=====

LaCNO2 GGA-PBE optimized geometry; raw formation energy = -376 meV/atom
1.0
4.101 0.000 0.000
0.000 4.101 0.000
0.000 0.000 2.975
La C N O
1 1 1 2
Cartesian
0.000 0.000 0.000
2.050 2.050 1.488
2.050 2.050 0.000
0.000 2.050 1.488
2.050 0.000 1.488

=====

Ba4LaTiNb3O15 GGA-PBE optimized geometry; energy above the lowest structure with this stoichiometry = 0.023 eV per atom; raw formation energy = -2908 meV/atom
1.0
5.814 0.000 0.000
-2.907 5.035 0.000
0.000 0.000 11.716
Ba La Ti Nb O
4 1 1 3 15
Cartesian
0.000 0.000 0.000
0.000 0.000 4.395
0.000 3.357 9.236
2.907 1.678 6.841
0.000 3.357 1.554
0.000 3.357 5.492
0.000 0.000 7.988
2.907 1.678 3.122
2.907 1.678 10.569
-1.449 2.520 11.541
-1.417 2.539 4.582
0.000 1.664 6.908
-1.466 4.203 6.908
1.449 0.837 9.244
1.465 0.846 2.247
1.417 2.539 4.582
0.000 4.994 4.582
1.449 2.520 11.541
0.000 5.030 11.541
1.466 4.203 6.908
4.349 0.846 2.247
2.907 3.343 2.247
4.365 0.837 9.244
2.907 3.362 9.244

=====

NpPb3O8 GGA-PBE optimized geometry; raw formation energy = -1380 meV/atom
1.0
5.460 0.000 0.000
0.000 5.460 0.000
0.000 0.000 5.460
Np Pb O
1 3 8
Cartesian
0.000 0.000 0.000
0.000 2.730 2.730
2.730 0.000 2.730
2.730 2.730 0.000
1.288 1.288 1.288
1.288 1.288 4.172
1.288 4.172 1.288
1.288 4.172 4.172
4.172 1.288 1.288
4.172 1.288 4.172
4.172 4.172 1.288
4.172 4.172 4.172

=====

HgPd2Se GGA-PBE optimized geometry; raw formation energy = -114 meV/atom
1.0
3.248 0.000 0.000
-1.624 2.813 0.000
0.000 0.000 24.107
Hg Pd Se
3 6 3
Cartesian
0.000 0.000 0.000
0.000 1.875 16.071
1.624 0.938 8.036
0.000 0.000 5.868
0.000 0.000 18.239
0.000 1.875 10.203
0.000 1.875 21.939
1.624 0.938 2.167
1.624 0.938 13.904
0.000 0.000 12.053
0.000 1.875 4.018
1.624 0.938 20.089

=====

Ba2ZnPdN GGA-PBE optimized geometry; energy above the lowest structure with this stoichiometry = 0.037 eV per atom; raw formation energy = -272 meV/atom
1.0
5.780 0.000 0.000
0.000 5.780 0.000
0.000 0.000 3.980
Ba Zn Pd N
2 1 1 1
Cartesian
0.000 2.890 0.000
2.890 0.000 0.000
0.000 0.000 1.990
2.890 2.890 1.990
2.890 2.890 0.000

=====

SrLi2SnB GGA-PBE optimized geometry; DFT formation energy = 0.356 eV/atom
1.0
4.733 0.000 0.000
0.000 4.733 0.000
0.000 0.000 5.285
Sr Li Sn B
1 2 1 1
Cartesian
0.000 0.000 0.000
0.000 2.366 2.642
2.366 0.000 2.642
2.366 2.366 0.000
0.000 0.000 2.642

=====

Mn2RuPb GGA-PBE optimized geometry; DFT formation energy = 0.686 eV/atom
1.0
7.350 0.000 0.000
0.000 7.350 0.000
0.000 0.000 5.460
Mn Ru Pb
8 4 4
Cartesian
1.524 1.838 0.682
1.838 5.199 2.047
1.838 5.826 4.777
2.151 1.838 3.412
5.199 5.513 3.412
5.513 1.524 4.777
5.513 2.151 2.047
5.826 5.513 0.682
0.000 0.000 0.000
0.000 3.675 1.365
3.675 0.000 4.095
3.675 3.675 2.730
0.000 0.000 2.730
0.000 3.675 4.095
3.675 0.000 1.365
3.675 3.675 0.000